{
  "formula": "ZrRuSe2",
  "functional": "GGA-PBE",
  "state": "relaxed",
  "lattice_angstrom": [[3.575, 0.000, 0.000], [0.000, 3.573, 0.000], [0.000, 0.000, 5.797]],
  "species": ["Zr", "Se", "Se", "Ru"],
  "fractional_positions": [[0.000, 0.000, 0.474], [0.500, 0.500, 0.295], [0.000, 0.000, 0.921], [0.500, 0.500, 0.811]],
  "m_tot_mub_per_cell": 0.1,
  "energy_ev_per_cell": -27.14,
  "formation_energy_uncorrected_ev_per_atom": -0.59,
  "de_polymorph_kj_per_mol_fu": 44
}